[1]
Y2HoRh4 | PBE | relaxed

Properties
* crystal system: trigonal
* calculated total energy: -50.53 eV/cell
* density of states at the Fermi level: 3.571 states/eV/f.u.

Cell lengths 4.672, 4.672, 8.175 Å; angles 73.40, 73.40, 60.00 degrees
Positions (direct):
Y  0.761  0.761  0.718
Y  0.239  0.239  0.282
Ho  0.000  0.000  0.000
Rh  0.880  0.880  0.360
Rh  0.120  0.120  0.640
Rh  0.626  0.626  0.123
Rh  0.374  0.374  0.877

[2]
YHo3Rh8 | PBE | relaxed

Properties
* crystal system: trigonal
* calculated total energy: -87.71 eV/cell
* density of states at the Fermi level: 7.553 states/eV/f.u.

Cell lengths 5.328, 5.328, 8.715 Å; angles 90.00, 90.00, 120.00 degrees
Positions (direct):
Y  0.000  0.000  0.567
Ho  0.667  0.333  0.433
Ho  0.667  0.333  0.066
Ho  0.000  0.000  0.934
Rh  0.333  0.667  0.500
Rh  0.333  0.667  0.000
Rh  0.502  0.005  0.751
Rh  0.502  0.498  0.751
Rh  0.995  0.498  0.751
Rh  0.164  0.329  0.249
Rh  0.164  0.836  0.249
Rh  0.671  0.836  0.249

[3]
YHo2Rh9 | PBE | relaxed

Properties
* crystal system: trigonal
* calculated total energy: -88.66 eV/cell
* density of states at the Fermi level: 12.650 states/eV/f.u.

Cell lengths 5.253, 5.253, 9.275 Å; angles 73.55, 73.55, 60.00 degrees
Positions (direct):
Y  0.000  0.000  0.000
Ho  0.861  0.861  0.417
Ho  0.139  0.139  0.583
Rh  0.667  0.667  0.999
Rh  0.333  0.333  0.001
Rh  0.500  0.500  0.500
Rh  0.417  0.417  0.249
Rh  0.918  0.417  0.249
Rh  0.417  0.918  0.249
Rh  0.583  0.583  0.751
Rh  0.583  0.082  0.751
Rh  0.082  0.583  0.751

[4]
Y2HoRh | PBE | relaxed

Properties
* crystal system: orthorhombic
* density of states at the Fermi level: 4.833 states/eV/f.u.
* offset from the most stable computed form: 0.000 eV/atom

Cell lengths 6.350, 7.169, 9.477 Å; angles 90.00, 90.00, 90.00 degrees
Positions (direct):
Y  0.174  0.678  0.064
Y  0.326  0.178  0.436
Y  0.826  0.322  0.564
Y  0.674  0.822  0.936
Y  0.826  0.322  0.936
Y  0.674  0.822  0.564
Y  0.174  0.678  0.436
Y  0.326  0.178  0.064
Ho  0.638  0.537  0.250
Ho  0.862  0.037  0.250
Ho  0.362  0.463  0.750
Ho  0.138  0.963  0.750
Rh  0.046  0.383  0.250
Rh  0.454  0.883  0.250
Rh  0.954  0.617  0.750
Rh  0.546  0.117  0.750

[5]
Y3HoRh | PBE | relaxed

Properties
* crystal system: monoclinic
* density of states at the Fermi level: 5.778 states/eV/f.u.
* offset from the most stable computed form: 0.036 eV/atom

Cell lengths 7.285, 7.285, 7.290 Å; angles 108.30, 112.57, 107.56 degrees
Positions (direct):
Y  0.842  0.048  0.286
Y  0.238  0.444  0.286
Y  0.762  0.556  0.714
Y  0.711  0.449  0.160
Y  0.158  0.952  0.714
Y  0.289  0.551  0.840
Ho  0.707  0.052  0.759
Ho  0.293  0.948  0.241
Rh  0.622  0.752  0.374
Rh  0.378  0.248  0.626

[6]
YHo2Rh | PBE | relaxed

Properties
* crystal system: orthorhombic
* density of states at the Fermi level: 4.921 states/eV/f.u.
* offset from the most stable computed form: 0.030 eV/atom

Cell lengths 3.829, 6.233, 9.313 Å; angles 90.00, 90.00, 107.89 degrees
Positions (direct):
Y  0.426  0.853  0.250
Y  0.574  0.147  0.750
Ho  0.139  0.279  0.433
Ho  0.861  0.721  0.567
Ho  0.861  0.721  0.933
Ho  0.139  0.279  0.067
Rh  0.743  0.486  0.250
Rh  0.257  0.514  0.750

[7]
Y2HoRh | PBE | relaxed

Properties
* crystal system: trigonal
* density of states at the Fermi level: 5.596 states/eV/f.u.
* offset from the most stable computed form: 0.414 eV/atom

Cell lengths 3.615, 3.615, 10.733 Å; angles 80.31, 80.31, 60.00 degrees
Positions (direct):
Y  0.110  0.110  0.671
Y  0.890  0.890  0.329
Rh  0.500  0.500  0.500
Ho  0.000  0.000  0.000

[8]
YHo2Rh4 | PBE | relaxed

Properties
* crystal system: trigonal
* calculated total energy: -48.80 eV/cell
* density of states at the Fermi level: 3.333 states/eV/f.u.

Cell lengths 4.644, 4.644, 8.178 Å; angles 73.51, 73.51, 60.00 degrees
Positions (direct):
Y  0.000  0.000  0.000
Ho  0.761  0.761  0.717
Ho  0.239  0.239  0.283
Rh  0.878  0.878  0.365
Rh  0.122  0.122  0.635
Rh  0.624  0.624  0.129
Rh  0.376  0.376  0.871

[9]
Y3HoRh | PBE | relaxed

Properties
* crystal system: cubic
* density of states at the Fermi level: 7.796 states/eV/f.u.
* offset from the most stable computed form: 0.183 eV/atom

Cell lengths 5.415, 5.415, 5.415 Å; angles 90.00, 90.00, 90.00 degrees
Positions (direct):
Y  0.000  0.500  0.000
Y  0.000  0.000  0.500
Y  0.500  0.000  0.000
Rh  0.000  0.000  0.000
Ho  0.500  0.500  0.500

[10]
YHo2Rh | PBE | relaxed

Properties
* crystal system: orthorhombic
* density of states at the Fermi level: 4.744 states/eV/f.u.
* offset from the most stable computed form: 0.000 eV/atom

Cell lengths 6.290, 7.169, 9.426 Å; angles 90.00, 90.00, 90.00 degrees
Positions (direct):
Y  0.634  0.534  0.250
Y  0.866  0.034  0.250
Y  0.366  0.466  0.750
Y  0.134  0.966  0.750
Ho  0.171  0.677  0.063
Ho  0.329  0.177  0.437
Ho  0.829  0.323  0.563
Ho  0.671  0.823  0.937
Ho  0.829  0.323  0.937
Ho  0.671  0.823  0.563
Ho  0.171  0.677  0.437
Ho  0.329  0.177  0.063
Rh  0.061  0.384  0.250
Rh  0.439  0.884  0.250
Rh  0.939  0.616  0.750
Rh  0.561  0.116  0.750

[11]
YHo3Rh | PBE | relaxed

Properties
* crystal system: monoclinic
* density of states at the Fermi level: 5.876 states/eV/f.u.
* offset from the most stable computed form: 0.000 eV/atom

Cell lengths 3.752, 6.269, 12.455 Å; angles 86.57, 81.34, 72.59 degrees
Positions (direct):
Y  0.113  0.492  0.282
Y  0.221  0.559  0.000
Ho  0.443  0.959  0.154
Ho  0.767  0.711  0.755
Ho  0.098  0.176  0.628
Ho  0.989  0.114  0.908
Ho  0.783  0.040  0.393
Ho  0.429  0.624  0.518
Rh  0.786  0.304  0.124
Rh  0.431  0.358  0.781

[12]
Y3Ho2Rh2 | PBE | relaxed

Properties
* crystal system: monoclinic
* calculated total energy: -47.24 eV/cell
* density of states at the Fermi level: 6.932 states/eV/f.u.

Cell lengths 3.786, 6.322, 8.925 Å; angles 114.69, 90.00, 107.43 degrees
Positions (direct):
Y  0.500  0.000  0.000
Y  0.615  0.230  0.429
Y  0.385  0.770  0.571
Ho  0.832  0.664  0.191
Ho  0.168  0.336  0.809
Rh  0.820  0.640  0.761
Rh  0.180  0.360  0.239

[13]
Y2HoRh9 | PBE | relaxed

Properties
* crystal system: trigonal
* calculated total energy: -90.42 eV/cell
* density of states at the Fermi level: 12.340 states/eV/f.u.

Cell lengths 5.256, 5.256, 9.295 Å; angles 73.58, 73.58, 60.00 degrees
Positions (direct):
Y  0.861  0.861  0.416
Y  0.139  0.139  0.584
Ho  0.000  0.000  0.000
Rh  0.667  0.667  0.999
Rh  0.333  0.333  0.001
Rh  0.500  0.500  0.500
Rh  0.417  0.417  0.247
Rh  0.918  0.417  0.247
Rh  0.417  0.918  0.247
Rh  0.583  0.583  0.753
Rh  0.583  0.082  0.753
Rh  0.082  0.583  0.753

[14]
Y4Ho3Rh4 | PBE | relaxed

Properties
* crystal system: orthorhombic
* calculated total energy: -75.83 eV/cell
* density of states at the Fermi level: 7.327 states/eV/f.u.

Cell lengths 3.667, 8.951, 9.339 Å; angles 118.63, 101.32, 90.00 degrees
Positions (direct):
Y  0.335  0.149  0.671
Y  0.665  0.479  0.329
Y  0.665  0.851  0.329
Y  0.335  0.521  0.671
Ho  0.102  0.102  0.203
Ho  0.898  0.898  0.797
Ho  0.000  0.500  0.000
Rh  0.256  0.756  0.511
Rh  0.744  0.244  0.489
Rh  0.500  0.787  0.000
Rh  0.500  0.213  0.000

[15]
Y3HoRh | PBE | relaxed

Properties
* crystal system: monoclinic
* density of states at the Fermi level: 6.243 states/eV/f.u.
* offset from the most stable computed form: 0.000 eV/atom

Cell lengths 3.775, 6.303, 12.535 Å; angles 86.97, 81.34, 72.58 degrees
Positions (direct):
Y  0.446  0.955  0.152
Y  0.768  0.709  0.756
Y  0.098  0.175  0.630
Y  0.990  0.109  0.910
Y  0.781  0.047  0.391
Y  0.431  0.624  0.514
Ho  0.115  0.493  0.277
Ho  0.224  0.553  0.999
Rh  0.779  0.315  0.126
Rh  0.429  0.357  0.786

[16]
Y4HoRh5 | PBE | relaxed

Properties
* crystal system: tetragonal
* calculated total energy: -75.67 eV/cell
* density of states at the Fermi level: 6.483 states/eV/f.u.

Cell lengths 3.398, 3.398, 17.509 Å; angles 90.00, 90.00, 90.00 degrees
Positions (direct):
Y  0.000  0.000  0.199
Y  0.000  0.000  0.400
Y  0.000  0.000  0.600
Y  0.000  0.000  0.801
Ho  0.000  0.000  0.000
Rh  0.500  0.500  0.098
Rh  0.500  0.500  0.299
Rh  0.500  0.500  0.500
Rh  0.500  0.500  0.701
Rh  0.500  0.500  0.902

[17]
Y2Ho3Rh2 | PBE | relaxed

Properties
* crystal system: monoclinic
* calculated total energy: -45.50 eV/cell
* density of states at the Fermi level: 6.780 states/eV/f.u.

Cell lengths 3.807, 6.285, 8.880 Å; angles 115.10, 90.00, 107.63 degrees
Positions (direct):
Y  0.835  0.670  0.193
Y  0.165  0.330  0.807
Ho  0.500  0.000  0.000
Ho  0.617  0.233  0.431
Ho  0.383  0.767  0.569
Rh  0.825  0.650  0.760
Rh  0.175  0.350  0.240

[18]
YHo5Rh4 | PBE | relaxed

Properties
* crystal system: orthorhombic
* calculated total energy: -65.36 eV/cell
* density of states at the Fermi level: 4.466 states/eV/f.u.

Cell lengths 4.241, 7.261, 9.200 Å; angles 113.24, 103.33, 90.00 degrees
Positions (direct):
Y  0.500  0.000  0.000
Ho  0.835  0.591  0.670
Ho  0.835  0.079  0.670
Ho  0.165  0.921  0.330
Ho  0.500  0.500  0.000
Ho  0.165  0.409  0.330
Rh  0.301  0.801  0.601
Rh  0.000  0.737  0.000
Rh  0.699  0.199  0.399
Rh  0.000  0.263  0.000

[19]
YHo3Rh2 | PBE | relaxed

Properties
* crystal system: orthorhombic
* density of states at the Fermi level: 6.104 states/eV/f.u.
* offset from the most stable computed form: 0.000 eV/atom

Cell lengths 4.670, 7.164, 8.672 Å; angles 90.00, 90.00, 90.00 degrees
Positions (direct):
Y  0.500  0.512  0.584
Y  0.500  0.012  0.416
Ho  0.000  0.487  0.915
Ho  0.000  0.987  0.085
Ho  0.500  0.641  0.168
Ho  0.500  0.141  0.832
Ho  0.000  0.359  0.330
Ho  0.000  0.859  0.670
Rh  0.500  0.745  0.842
Rh  0.500  0.245  0.158
Rh  0.000  0.255  0.660
Rh  0.000  0.755  0.340

[20]
YHo3Rh2 | PBE | relaxed

Properties
* crystal system: orthorhombic
* density of states at the Fermi level: 5.097 states/eV/f.u.
* offset from the most stable computed form: 0.090 eV/atom

Cell lengths 6.685, 7.052, 8.329 Å; angles 115.05, 113.66, 90.00 degrees
Positions (direct):
Y  0.000  0.500  0.000
Y  0.000  0.000  0.000
Ho  0.500  0.250  0.000
Ho  0.500  0.750  0.000
Ho  0.768  0.018  0.535
Ho  0.232  0.482  0.465
Ho  0.232  0.982  0.465
Ho  0.768  0.518  0.535
Rh  0.571  0.361  0.722
Rh  0.849  0.139  0.278
Rh  0.151  0.861  0.722
Rh  0.429  0.639  0.278